Entry 1:
HfSiIr: optimized geometry, PBE.

Output
E_tot ... -0.3360 hartree per atom
M_tot ... 0.00 Bohr magnetons per cell
Space-group type ... P-62m, No. 189
Theoretical density ... 13.92 g/cm3

a b c (Å): 6.450 6.450 3.962
angles (deg): 90.00 90.00 120.00
Positions (direct):
Ir  0.000  0.249  0.500
Ir  0.249  0.000  0.500
Ir  0.751  0.751  0.500
Hf  0.425  0.425  0.000
Hf  0.000  0.575  0.000
Hf  0.575  0.000  0.000
Si  0.333  0.667  0.500
Si  0.000  0.000  0.000
Si  0.667  0.333  0.500

Entry 2:
Hf2Si2Ir: optimized geometry, PBE.

Output
E_tot ... -0.2805 hartree per atom
M_tot ... 0.00 Bohr magnetons per cell
Space-group type ... I4/mmm, No. 139
Theoretical density ... 10.95 g/cm3

a b c (Å): 6.246 6.246 6.246
angles (deg): 141.97 141.97 54.87
Positions (direct):
Si  0.404  0.404  0.000
Si  0.596  0.596  0.000
Ir  0.000  0.000  0.000
Hf  0.250  0.750  0.500
Hf  0.750  0.250  0.500